A geometry-optimized CoSnPdAu structure. Source: the Alexandria database, functional PBE.

Computed properties:
The calculation puts the formation energy at -0.071 eV per atom.

a = 4.5105 Å, b = 4.5105 Å, c = 4.5105 Å
α = 60.00°, β = 60.00°, γ = 60.00°
Closest atoms and distances in Å follow each position.
Positions (direct):
1 Co 0.0000 0.0000 0.0000  4 Au 2.76, 4 Sn 2.76
2 Sn 0.7500 0.7500 0.7500  4 Co 2.76, 4 Pd 2.76
3 Au 0.2500 0.2500 0.2500  4 Pd 2.76, 4 Co 2.76
4 Pd 0.5000 0.5000 0.5000  4 Sn 2.76, 4 Au 2.76

---

A geometry-optimized CoTePd2Au structure. Source: the Alexandria database, functional PBE.

Computed properties:
The final energy is -3.57 eV/atom.

a = 5.0346 Å, b = 5.1153 Å, c = 5.0346 Å
α = 90.00°, β = 90.00°, γ = 90.00°
Closest atoms and distances in Å follow each position.
Positions (direct):
1 Au 0.0000 0.0000 0.0000  4 Pd 2.52, 2 Te 2.56
2 Pd 0.5000 0.0000 0.0000  2 Au 2.52
3 Pd 0.0000 0.0000 0.5000  2 Au 2.52
4 Co 0.5000 0.5000 0.5000  4 Te 3.56, 8 Pd 3.59
5 Te 0.0000 0.5000 0.0000  2 Au 2.56

---

A geometry-optimized Th2CoPdAu structure. Source: the Alexandria database, functional PBE.

Computed properties:
The calculation puts the formation energy at -0.570 eV per atom.

a = 3.8971 Å, b = 7.8620 Å, c = 7.9484 Å
α = 113.99°, β = 90.00°, γ = 90.00°
Closest atoms and distances in Å follow each position.
Positions (direct):
1 Co 0.7500 0.0852 0.0862  2 Co 2.44, 1 Pd 2.69
2 Co 0.2500 0.9148 0.9138  2 Co 2.44, 1 Pd 2.69
3 Th 0.7500 0.7097 0.0084  3 Co 2.76-2.82
4 Th 0.7500 0.8559 0.6405  2 Co 2.81, 2 Pd 3.07, 2 Au 3.08
5 Th 0.2500 0.1441 0.3595  2 Co 2.81, 2 Pd 3.07, 2 Au 3.08
6 Th 0.2500 0.2903 0.9916  3 Co 2.76-2.82
7 Au 0.2500 0.7087 0.3127  2 Pd 2.96, 6 Th 3.08-3.29
8 Au 0.7500 0.2913 0.6873  2 Pd 2.96, 6 Th 3.08-3.29
9 Pd 0.7500 0.4383 0.3429  1 Co 2.69, 2 Au 2.96, 2 Pd 3.00
10 Pd 0.2500 0.5617 0.6571  1 Co 2.69, 2 Au 2.96, 2 Pd 3.00